1.
# PBE-GGA Tb3PmHo2S6, relaxed
data_Tb3PmHo2S6
_chemical_formula_sum 'Tb6 Pm2 Ho4 S12'
_space_group_name_H-M_alt 'C 1 2/m 1'
_space_group_IT_number 12
_cell_length_a 6.796
_cell_length_b 11.817
_cell_length_c 6.803
_cell_angle_alpha 90.00
_cell_angle_beta 109.50
_cell_angle_gamma 90.00
loop_
_space_group_symop_operation_xyz
'x,y,z'
'-x,-y,-z'
'-x,y,-z'
'x,-y,z'
'x+1/2,y+1/2,z'
'-x+1/2,-y+1/2,-z'
'-x+1/2,y+1/2,-z'
'x+1/2,-y+1/2,z'
loop_
_atom_site_label
_atom_site_type_symbol
_atom_site_fract_x
_atom_site_fract_y
_atom_site_fract_z
Tb1 Tb 0.000 0.000 0.000
Tb2 Tb 0.000 0.337 0.000
Pm1 Pm 0.000 0.500 0.500
Ho1 Ho 0.000 0.166 0.500
S1 S 0.241 0.000 0.748
S2 S 0.245 0.171 0.249
# Total moment   0.00 μB per atom
# Final energy   -6.384 eV per atom

2.
# PBE-GGA TbPm3Ho4S8, relaxed
data_TbPm3Ho4S8
_chemical_formula_sum 'Tb3 Pm9 Ho12 S24'
_space_group_name_H-M_alt 'R -3 m'
_space_group_IT_number 166
_space_group_name_Hall '-R 3 2"'
_cell_length_a 7.8613
_cell_length_b 7.8613
_cell_length_c 19.4980
_cell_angle_alpha 90.00
_cell_angle_beta 90.00
_cell_angle_gamma 120.00
loop_
_atom_site_label
_atom_site_type_symbol
_atom_site_fract_x
_atom_site_fract_y
_atom_site_fract_z
Tb1 Tb 0.0000 0.0000 0.0000
Pm1 Pm 0.0000 0.5000 0.0000
Ho1 Ho 0.0000 0.0000 0.5000
Ho2 Ho 0.0000 0.5000 0.5000
S1 S 0.0000 0.0000 0.2450
S2 S 0.0044 0.5022 0.7539
# Total moment   0.00 μB per atom
# Final energy   -6.388 eV per atom

3.
# PBE-GGA TbPmHo2S6, relaxed
data_TbPmHo2S6
_chemical_formula_sum 'Tb3 Pm3 Ho6 S18'
_space_group_name_H-M_alt 'R 3'
_space_group_IT_number 146
_space_group_name_Hall 'R 3'
_cell_length_a 6.9613
_cell_length_b 6.9613
_cell_length_c 18.5455
_cell_angle_alpha 90.00
_cell_angle_beta 90.00
_cell_angle_gamma 120.00
loop_
_atom_site_label
_atom_site_type_symbol
_atom_site_fract_x
_atom_site_fract_y
_atom_site_fract_z
Tb1 Tb 0.0000 0.0000 0.0000
Pm1 Pm 0.0000 0.0000 0.5035
Ho1 Ho 0.0000 0.0000 0.3000
Ho2 Ho 0.0000 0.0000 0.7980
S1 S 0.0069 0.3058 0.3973
S2 S 0.0168 0.7121 0.8977
# Total moment   0.00 μB per atom
# Final energy   -6.382 eV per atom

4.
# PBE-GGA TbPm4Ho3S8, relaxed
data_TbPm4Ho3S8
_chemical_formula_sum 'Tb3 Pm12 Ho9 S24'
_space_group_name_H-M_alt 'R -3 m'
_space_group_IT_number 166
_space_group_name_Hall '-R 3 2"'
_cell_length_a 7.8816
_cell_length_b 7.8816
_cell_length_c 19.6776
_cell_angle_alpha 90.00
_cell_angle_beta 90.00
_cell_angle_gamma 120.00
loop_
_atom_site_label
_atom_site_type_symbol
_atom_site_fract_x
_atom_site_fract_y
_atom_site_fract_z
Tb1 Tb 0.0000 0.0000 0.0000
Pm1 Pm 0.0000 0.0000 0.5000
Pm2 Pm 0.0000 0.5000 0.5000
Ho1 Ho 0.0000 0.5000 0.0000
S1 S 0.0000 0.0000 0.2551
S2 S 0.0021 0.5010 0.2546
# Total moment   0.00 μB per atom
# Final energy   -6.409 eV per atom

5.
# PBE-GGA Tb2Pm3HoS6, relaxed
data_Tb2Pm3HoS6
_chemical_formula_sum 'Tb4 Pm6 Ho2 S12'
_space_group_name_H-M_alt 'C 1 2/m 1'
_space_group_IT_number 12
_cell_length_a 6.848
_cell_length_b 11.903
_cell_length_c 6.917
_cell_angle_alpha 90.00
_cell_angle_beta 109.32
_cell_angle_gamma 90.00
loop_
_space_group_symop_operation_xyz
'x,y,z'
'-x,-y,-z'
'-x,y,-z'
'x,-y,z'
'x+1/2,y+1/2,z'
'-x+1/2,-y+1/2,-z'
'-x+1/2,y+1/2,-z'
'x+1/2,-y+1/2,z'
loop_
_atom_site_label
_atom_site_type_symbol
_atom_site_fract_x
_atom_site_fract_y
_atom_site_fract_z
Tb1 Tb 0.000 0.167 0.000
Pm1 Pm 0.000 0.000 0.500
Pm2 Pm 0.000 0.332 0.500
Ho1 Ho 0.000 0.500 0.000
S1 S 0.245 0.335 0.238
S2 S 0.249 0.000 0.239
# Total moment   0.00 μB per atom
# Final energy   -6.427 eV per atom

6.
# PBE-GGA Tb3Pm2HoS6, relaxed
data_Tb3Pm2HoS6
_chemical_formula_sum 'Tb6 Pm4 Ho2 S12'
_space_group_name_H-M_alt 'C 1 2/m 1'
_space_group_IT_number 12
_cell_length_a 17.222
_cell_length_b 3.943
_cell_length_c 7.952
_cell_angle_alpha 90.00
_cell_angle_beta 103.40
_cell_angle_gamma 90.00
loop_
_space_group_symop_operation_xyz
'x,y,z'
'-x,-y,-z'
'-x,y,-z'
'x,-y,z'
'x+1/2,y+1/2,z'
'-x+1/2,-y+1/2,-z'
'-x+1/2,y+1/2,-z'
'x+1/2,-y+1/2,z'
loop_
_atom_site_label
_atom_site_type_symbol
_atom_site_fract_x
_atom_site_fract_y
_atom_site_fract_z
Tb1 Tb 0.000 0.000 0.000
Tb2 Tb 0.169 0.500 0.333
Pm1 Pm 0.168 0.500 0.836
Ho1 Ho 0.000 0.000 0.500
S1 S 0.003 0.500 0.255
S2 S 0.164 0.000 0.089
S3 S 0.165 0.000 0.576
# Total moment   0.00 μB per atom
# Final energy   -6.406 eV per atom

7.
# PBE-GGA TbPm2Ho3S6, relaxed
data_TbPm2Ho3S6
_chemical_formula_sum 'Tb2 Pm4 Ho6 S12'
_space_group_name_H-M_alt 'C 1 2/m 1'
_space_group_IT_number 12
_cell_length_a 6.795
_cell_length_b 11.813
_cell_length_c 6.856
_cell_angle_alpha 90.00
_cell_angle_beta 109.34
_cell_angle_gamma 90.00
loop_
_space_group_symop_operation_xyz
'x,y,z'
'-x,-y,-z'
'-x,y,-z'
'x,-y,z'
'x+1/2,y+1/2,z'
'-x+1/2,-y+1/2,-z'
'-x+1/2,y+1/2,-z'
'x+1/2,-y+1/2,z'
loop_
_atom_site_label
_atom_site_type_symbol
_atom_site_fract_x
_atom_site_fract_y
_atom_site_fract_z
Tb1 Tb 0.000 0.000 0.000
Pm1 Pm 0.000 0.333 0.000
Ho1 Ho 0.000 0.169 0.500
Ho2 Ho 0.000 0.500 0.500
S1 S 0.240 0.000 0.738
S2 S 0.249 0.336 0.740
# Total moment   0.00 μB per atom
# Final energy   -6.391 eV per atom

8.
# PBE-GGA TbPm2HoS4, relaxed
data_TbPm2HoS4
_chemical_formula_sum 'Tb1 Pm2 Ho1 S4'
_space_group_name_H-M_alt 'P 1 2/m 1'
_space_group_IT_number 10
_cell_length_a 6.843
_cell_length_b 3.922
_cell_length_c 6.970
_cell_angle_alpha 90.00
_cell_angle_beta 108.87
_cell_angle_gamma 90.00
loop_
_space_group_symop_operation_xyz
'x,y,z'
'-x,-y,-z'
'-x,y,-z'
'x,-y,z'
loop_
_atom_site_label
_atom_site_type_symbol
_atom_site_fract_x
_atom_site_fract_y
_atom_site_fract_z
Tb1 Tb 0.000 0.000 0.000
Pm1 Pm 0.000 0.500 0.500
Pm2 Pm 0.500 0.000 0.500
Ho1 Ho 0.500 0.500 0.000
S1 S 0.248 0.500 0.238
S2 S 0.257 0.000 0.763
# Total moment   0.00 μB per atom
# Final energy   -6.417 eV per atom

9.
# PBE-GGA Tb4PmHo3S8, relaxed
data_Tb4PmHo3S8
_chemical_formula_sum 'Tb12 Pm3 Ho9 S24'
_space_group_name_H-M_alt 'R -3 m'
_space_group_IT_number 166
_space_group_name_Hall '-R 3 2"'
_cell_length_a 7.8542
_cell_length_b 7.8542
_cell_length_c 19.2204
_cell_angle_alpha 90.00
_cell_angle_beta 90.00
_cell_angle_gamma 120.00
loop_
_atom_site_label
_atom_site_type_symbol
_atom_site_fract_x
_atom_site_fract_y
_atom_site_fract_z
Tb1 Tb 0.0000 0.0000 0.0000
Tb2 Tb 0.0000 0.5000 0.0000
Pm1 Pm 0.0000 0.0000 0.5000
Ho1 Ho 0.0000 0.5000 0.5000
S1 S 0.0000 0.0000 0.2485
S2 S 0.0066 0.5033 0.7499
# Total moment   0.00 μB per atom
# Final energy   -6.369 eV per atom

10.
# PBE-GGA TbPm4HoS8, relaxed
data_TbPm4HoS8
_chemical_formula_sum 'Tb3 Pm12 Ho3 S24'
_space_group_name_H-M_alt 'R 3 m'
_space_group_IT_number 160
_space_group_name_Hall 'R 3 -2"'
_cell_length_a 8.2129
_cell_length_b 8.2129
_cell_length_c 20.0685
_cell_angle_alpha 90.00
_cell_angle_beta 90.00
_cell_angle_gamma 120.00
loop_
_atom_site_label
_atom_site_type_symbol
_atom_site_fract_x
_atom_site_fract_y
_atom_site_fract_z
Tb1 Tb 0.0000 0.0000 0.0000
Pm1 Pm 0.0000 0.0000 0.3765
Pm2 Pm 0.0027 0.5013 0.5012
Ho1 Ho 0.0000 0.0000 0.6255
S1 S 0.0000 0.0000 0.2435
S2 S 0.0000 0.0000 0.7545
S3 S 0.0261 0.5131 0.7516
S4 S 0.1744 0.3489 0.5849
# Total moment   0.00 μB per atom
# Final energy   -6.295 eV per atom

11.
# PBE-GGA Tb2PmHoS6, relaxed
data_Tb2PmHoS6
_chemical_formula_sum 'Tb6 Pm3 Ho3 S18'
_space_group_name_H-M_alt 'R 3'
_space_group_IT_number 146
_space_group_name_Hall 'R 3'
_cell_length_a 6.9794
_cell_length_b 6.9794
_cell_length_c 18.6047
_cell_angle_alpha 90.00
_cell_angle_beta 90.00
_cell_angle_gamma 120.00
loop_
_atom_site_label
_atom_site_type_symbol
_atom_site_fract_x
_atom_site_fract_y
_atom_site_fract_z
Tb1 Tb 0.0000 0.0000 0.0000
Tb2 Tb 0.0000 0.0000 0.4973
Pm1 Pm 0.0000 0.0000 0.2035
Ho1 Ho 0.0000 0.0000 0.6994
S1 S 0.0106 0.7103 0.5994
S2 S 0.0310 0.3622 0.7652
# Total moment   0.00 μB per atom
# Final energy   -6.386 eV per atom

12.
# PBE-GGA PmHoTeS, relaxed
data_PmHoTeS
_chemical_formula_sum 'Pm3 Ho3 Te3 S3'
_space_group_name_H-M_alt 'R 3 m'
_space_group_IT_number 160
_space_group_name_Hall 'R 3 -2"'
_cell_length_a 3.9977
_cell_length_b 3.9977
_cell_length_c 22.7748
_cell_angle_alpha 90.00
_cell_angle_beta 90.00
_cell_angle_gamma 120.00
loop_
_atom_site_label
_atom_site_type_symbol
_atom_site_fract_x
_atom_site_fract_y
_atom_site_fract_z
Pm1 Pm 0.0000 0.0000 0.0000
Ho1 Ho 0.0000 0.0000 0.1545
Te1 Te 0.0000 0.0000 0.5734
S1 S 0.0000 0.0000 0.7492
# Total moment   0.00 μB per atom
# Final energy   -5.695 eV per atom

13.
# PBE-GGA PmHoTe2S, relaxed
data_PmHoTe2S
_chemical_formula_sum 'Pm2 Ho2 Te4 S2'
_space_group_name_H-M_alt 'P 4/n m m'
_space_group_IT_number 129
_cell_length_a 4.432
_cell_length_b 4.432
_cell_length_c 15.678
_cell_angle_alpha 90.00
_cell_angle_beta 90.00
_cell_angle_gamma 90.00
loop_
_space_group_symop_operation_xyz
'x,y,z'
'-x,-y,-z'
'-y+1/2,x,z'
'y+1/2,-x,-z'
'-x+1/2,-y+1/2,z'
'x+1/2,y+1/2,-z'
'y,-x+1/2,z'
'-y,x+1/2,-z'
'x+1/2,-y,-z'
'-x+1/2,y,z'
'-y,-x,-z'
'y,x,z'
'-x,y+1/2,-z'
'x,-y+1/2,z'
'y+1/2,x+1/2,-z'
'-y+1/2,-x+1/2,z'
loop_
_atom_site_label
_atom_site_type_symbol
_atom_site_fract_x
_atom_site_fract_y
_atom_site_fract_z
Pm1 Pm 0.250 0.250 0.105
Ho1 Ho 0.250 0.250 0.612
Te1 Te 0.250 0.250 0.408
Te2 Te 0.250 0.250 0.796
S1 S 0.250 0.750 0.000
# Total moment   0.00 μB per atom
# Final energy   -5.428 eV per atom

14.
# PBE-GGA Pm2HoTe2S2, relaxed
data_Pm2HoTe2S2
_chemical_formula_sum 'Pm4 Ho2 Te4 S4'
_space_group_name_H-M_alt 'I 4/m m m'
_space_group_IT_number 139
_space_group_name_Hall '-I 4 2'
_cell_length_a 5.039
_cell_length_b 5.039
_cell_length_c 15.988
_cell_angle_alpha 90.00
_cell_angle_beta 90.00
_cell_angle_gamma 90.00
loop_
_atom_site_label
_atom_site_type_symbol
_atom_site_fract_x
_atom_site_fract_y
_atom_site_fract_z
Pm1 Pm 0.000 0.000 0.115
Ho1 Ho 0.000 0.000 0.500
Te1 Te 0.000 0.000 0.313
S1 S 0.000 0.500 0.000
# Total moment   0.00 μB per atom
# Final energy   -5.563 eV per atom

15.
# PBE-GGA PmHo2ThS4, relaxed
data_PmHo2ThS4
_chemical_formula_sum 'Pm1 Ho2 Th1 S4'
_space_group_name_H-M_alt 'P 1 2/m 1'
_space_group_IT_number 10
_cell_length_a 6.821
_cell_length_b 3.919
_cell_length_c 6.953
_cell_angle_alpha 90.00
_cell_angle_beta 108.99
_cell_angle_gamma 90.00
loop_
_space_group_symop_operation_xyz
'x,y,z'
'-x,-y,-z'
'-x,y,-z'
'x,-y,z'
loop_
_atom_site_label
_atom_site_type_symbol
_atom_site_fract_x
_atom_site_fract_y
_atom_site_fract_z
Pm1 Pm 0.000 0.000 0.000
Ho1 Ho 0.000 0.500 0.500
Ho2 Ho 0.500 0.000 0.500
Th1 Th 0.500 0.500 0.000
S1 S 0.244 0.000 0.734
S2 S 0.255 0.500 0.265
# Total moment   0.00 μB per atom
# Final energy   -6.678 eV per atom

16.
# PBE-GGA Pm3Ho2ThS6, relaxed
data_Pm3Ho2ThS6
_chemical_formula_sum 'Pm6 Ho4 Th2 S12'
_space_group_name_H-M_alt 'C 1 2/m 1'
_space_group_IT_number 12
_cell_length_a 17.359
_cell_length_b 3.977
_cell_length_c 8.006
_cell_angle_alpha 90.00
_cell_angle_beta 103.14
_cell_angle_gamma 90.00
loop_
_space_group_symop_operation_xyz
'x,y,z'
'-x,-y,-z'
'-x,y,-z'
'x,-y,z'
'x+1/2,y+1/2,z'
'-x+1/2,-y+1/2,-z'
'-x+1/2,y+1/2,-z'
'x+1/2,-y+1/2,z'
loop_
_atom_site_label
_atom_site_type_symbol
_atom_site_fract_x
_atom_site_fract_y
_atom_site_fract_z
Pm1 Pm 0.000 0.000 0.000
Pm2 Pm 0.163 0.500 0.334
Ho1 Ho 0.166 0.500 0.831
Th1 Th 0.000 0.000 0.500
S1 S 0.005 0.500 0.755
S2 S 0.169 0.000 0.595
S3 S 0.171 0.000 0.076
# Total moment   0.00 μB per atom
# Final energy   -6.607 eV per atom

17.
# PBE-GGA Pm2HoThS4, relaxed
data_Pm2HoThS4
_chemical_formula_sum 'Pm2 Ho1 Th1 S4'
_space_group_name_H-M_alt 'P 1 2/m 1'
_space_group_IT_number 10
_cell_length_a 6.921
_cell_length_b 3.974
_cell_length_c 6.969
_cell_angle_alpha 90.00
_cell_angle_beta 109.18
_cell_angle_gamma 90.00
loop_
_space_group_symop_operation_xyz
'x,y,z'
'-x,-y,-z'
'-x,y,-z'
'x,-y,z'
loop_
_atom_site_label
_atom_site_type_symbol
_atom_site_fract_x
_atom_site_fract_y
_atom_site_fract_z
Pm1 Pm 0.000 0.000 0.000
Pm2 Pm 0.000 0.500 0.500
Ho1 Ho 0.500 0.000 0.500
Th1 Th 0.500 0.500 0.000
S1 S 0.253 0.000 0.743
S2 S 0.259 0.500 0.260
# Total moment   0.00 μB per atom
# Final energy   -6.711 eV per atom

18.
# PBE-GGA Pm4HoTh3S8, relaxed
data_Pm4HoTh3S8
_chemical_formula_sum 'Pm12 Ho3 Th9 S24'
_space_group_name_H-M_alt 'R -3 m'
_space_group_IT_number 166
_space_group_name_Hall '-R 3 2"'
_cell_length_a 8.0144
_cell_length_b 8.0144
_cell_length_c 19.7955
_cell_angle_alpha 90.00
_cell_angle_beta 90.00
_cell_angle_gamma 120.00
loop_
_atom_site_label
_atom_site_type_symbol
_atom_site_fract_x
_atom_site_fract_y
_atom_site_fract_z
Pm1 Pm 0.0000 0.0000 0.0000
Pm2 Pm 0.0000 0.5000 0.0000
Ho1 Ho 0.0000 0.0000 0.5000
Th1 Th 0.0000 0.5000 0.5000
S1 S 0.0000 0.0000 0.2512
S2 S 0.0073 0.5037 0.2490
# Total moment   0.00 μB per atom
# Final energy   -6.874 eV per atom

19.
# PBE-GGA PmHoTh2S4, relaxed
data_PmHoTh2S4
_chemical_formula_sum 'Pm1 Ho1 Th2 S4'
_space_group_name_H-M_alt 'P 1 2/m 1'
_space_group_IT_number 10
_cell_length_a 6.842
_cell_length_b 3.991
_cell_length_c 7.026
_cell_angle_alpha 90.00
_cell_angle_beta 109.20
_cell_angle_gamma 90.00
loop_
_space_group_symop_operation_xyz
'x,y,z'
'-x,-y,-z'
'-x,y,-z'
'x,-y,z'
loop_
_atom_site_label
_atom_site_type_symbol
_atom_site_fract_x
_atom_site_fract_y
_atom_site_fract_z
Pm1 Pm 0.000 0.000 0.000
Ho1 Ho 0.500 0.500 0.000
Th1 Th 0.000 0.500 0.500
Th2 Th 0.500 0.000 0.500
S1 S 0.254 0.500 0.241
S2 S 0.260 0.000 0.763
# Total moment   0.00 μB per atom
# Final energy   -6.991 eV per atom

20.
# PBE-GGA PmHo2Th3S6, relaxed
data_PmHo2Th3S6
_chemical_formula_sum 'Pm2 Ho4 Th6 S12'
_space_group_name_H-M_alt 'C 1 2/m 1'
_space_group_IT_number 12
_cell_length_a 6.831
_cell_length_b 11.746
_cell_length_c 7.076
_cell_angle_alpha 90.00
_cell_angle_beta 108.48
_cell_angle_gamma 90.00
loop_
_space_group_symop_operation_xyz
'x,y,z'
'-x,-y,-z'
'-x,y,-z'
'x,-y,z'
'x+1/2,y+1/2,z'
'-x+1/2,-y+1/2,-z'
'-x+1/2,y+1/2,-z'
'x+1/2,-y+1/2,z'
loop_
_atom_site_label
_atom_site_type_symbol
_atom_site_fract_x
_atom_site_fract_y
_atom_site_fract_z
Pm1 Pm 0.000 0.000 0.000
Ho1 Ho 0.000 0.333 0.000
Th1 Th 0.000 0.163 0.500
Th2 Th 0.000 0.500 0.500
S1 S 0.236 0.500 0.233
S2 S 0.250 0.171 0.238
# Total moment   0.00 μB per atom
# Final energy   -6.979 eV per atom

21.
# PBE-GGA Pm4Ho3ThS8, relaxed
data_Pm4Ho3ThS8
_chemical_formula_sum 'Pm12 Ho9 Th3 S24'
_space_group_name_H-M_alt 'R -3 m'
_space_group_IT_number 166
_space_group_name_Hall '-R 3 2"'
_cell_length_a 7.9567
_cell_length_b 7.9567
_cell_length_c 19.5436
_cell_angle_alpha 90.00
_cell_angle_beta 90.00
_cell_angle_gamma 120.00
loop_
_atom_site_label
_atom_site_type_symbol
_atom_site_fract_x
_atom_site_fract_y
_atom_site_fract_z
Pm1 Pm 0.0000 0.0000 0.0000
Pm2 Pm 0.0000 0.5000 0.0000
Ho1 Ho 0.0000 0.5000 0.5000
Th1 Th 0.0000 0.0000 0.5000
S1 S 0.0000 0.0000 0.2451
S2 S 0.0068 0.5034 0.7532
# Total moment   0.00 μB per atom
# Final energy   -6.552 eV per atom

Taking the records one at a time from the top gives energy relative to the elements, uncorrected values of -24.048, -31.992, -20.521, -32.152, -24.265, -24.133, -24.059, -16.118, -31.877, -26.900, -20.502, -6.184, -7.403, -10.323, -15.591, -23.696, -15.677, -31.121, -15.249, -22.823, -31.661 eV/f.u..